DFT (PBE-GGA) results for crystalline Pm5InSi4 at its relaxed geometry.

a = 3.367 Å, b = 3.367 Å, c = 21.283 Å
α = 90.00°, β = 90.00°, γ = 90.00°
Fractional coordinates of all 10 atoms:
Pm (0.000, 0.000, 0.000)
Pm (0.000, 0.000, 0.193)
Pm (0.000, 0.000, 0.381)
Pm (0.000, 0.000, 0.619)
Pm (0.000, 0.000, 0.807)
In (0.500, 0.500, 0.500)
Si (0.500, 0.500, 0.097)
Si (0.500, 0.500, 0.290)
Si (0.500, 0.500, 0.710)
Si (0.500, 0.500, 0.903)

Output
Symmetry ... P4/mmm, No. 123
E_form (uncorrected) ... -0.46 eV per atom

=====

DFT (PBE-GGA) results for crystalline Zn2SiAg at its relaxed geometry.

a = 3.533 Å, b = 3.533 Å, c = 5.222 Å
α = 90.00°, β = 90.00°, γ = 90.00°
Fractional coordinates of all 4 atoms:
Zn (0.000, 0.000, 0.000)
Zn (0.500, 0.500, 0.251)
Si (0.500, 0.500, 0.759)
Ag (0.000, 0.000, 0.501)

Output
Symmetry ... P4mm, No. 99
E_form (uncorrected) ... 0.19 eV per atom

=====

DFT (PBE-GGA) results for crystalline TaIn2SbH at its relaxed geometry.

a = 5.890 Å, b = 5.890 Å, c = 3.549 Å
α = 90.00°, β = 90.00°, γ = 90.00°
Fractional coordinates of all 5 atoms:
Ta (0.000, 0.000, 0.000)
In (0.000, 0.500, 0.000)
In (0.500, 0.000, 0.000)
Sb (0.500, 0.500, 0.500)
H (0.000, 0.000, 0.500)

Output
Symmetry ... P4/mmm, No. 123
Electronic total energy ... -4.347 eV/atom

=====

DFT (PBE-GGA) results for crystalline Pb2W at its relaxed geometry.

a = 3.480 Å, b = 19.621 Å, c = 4.623 Å
α = 90.00°, β = 90.00°, γ = 90.00°
Fractional coordinates of all 12 atoms:
Pb (0.000, 0.083, 0.250)
Pb (0.000, 0.187, 0.750)
Pb (0.000, 0.813, 0.250)
Pb (0.000, 0.917, 0.750)
Pb (0.500, 0.313, 0.250)
Pb (0.500, 0.417, 0.750)
Pb (0.500, 0.583, 0.250)
Pb (0.500, 0.687, 0.750)
W (0.000, 0.465, 0.250)
W (0.000, 0.535, 0.750)
W (0.500, 0.035, 0.750)
W (0.500, 0.965, 0.250)

Output
Calculated formation energy ... 0.718 eV per atom
Symmetry ... Cmcm, No. 63

=====

DFT (PBE-GGA) results for crystalline Ta2NiPt at its relaxed geometry.

a = 2.817 Å, b = 4.736 Å, c = 9.500 Å
α = 90.00°, β = 90.00°, γ = 90.00°
Fractional coordinates of all 8 atoms:
Ta (0.000, 0.000, 0.000)
Ta (0.000, 0.500, 0.230)
Ta (0.500, 0.000, 0.730)
Ta (0.500, 0.500, 0.500)
Ni (0.000, 0.500, 0.735)
Ni (0.500, 0.000, 0.235)
Pt (0.000, 0.000, 0.467)
Pt (0.500, 0.500, 0.967)

Output
Calculated formation energy ... -0.248 eV per atom
Symmetry ... Imm2, No. 44